# 1
An optimized crystal structure of TlAgHg2. Source: Alexandria, functional PBE.

The structure in POSCAR format:
```
TlAgHg2
1.0
3.4136 0.0000 0.0000
0.0000 4.7816 0.0000
-1.1229 0.0000 6.1376
Tl Ag Hg
1 1 2
Cartesian
0.0000 0.0000 0.0000
1.6398 2.3908 1.1512
0.3382 2.3908 4.1663
1.9123 0.0000 2.8831
```

Properties
DOS(E_F) ... 0.2723 states/eV/atom
Calculated density ... 11.83 g/cm³
Formation enthalpy at 0 K ... 89 meV per atom


# 2
An optimized crystal structure of GeTePd. Source: Alexandria, functional PBE.

The structure in POSCAR format:
```
GeTePd
1.0
4.1834 0.0000 0.0000
-2.0917 3.6229 0.0000
0.0000 0.0000 4.6822
Ge Te Pd
1 1 1
Cartesian
0.0000 0.0000 0.0000
0.0000 2.4153 2.1031
2.0917 1.2076 0.8290
```

Properties
Raw formation energy ... -51.4 kJ/mol of formula units
DOS(E_F) ... 0.3399 states/eV/atom
Calculated density ... 7.18 g/cm³


# 3
An optimized crystal structure of NbFe3Sb. Source: Alexandria, functional PBE.

The structure in POSCAR format:
```
NbFe3Sb
1.0
4.5848 0.0000 0.0000
0.0000 4.5848 0.0000
0.0000 0.0000 4.5848
Nb Fe Sb
1 3 1
Cartesian
0.0000 0.0000 0.0000
0.0000 0.0000 2.2924
0.0000 2.2924 0.0000
2.2924 0.0000 0.0000
2.2924 2.2924 2.2924
```

Properties
Polymorph energy (0 for the lowest one) ... 0.00 eV/f.u.
Raw formation energy ... 639.5 kJ/mol of formula units
DOS(E_F) ... 1.1926 states/eV/atom
Calculated density ... 6.59 g/cm³


# 4
An optimized crystal structure of Si2NiC. Source: Alexandria, functional PBE.

The structure in POSCAR format:
```
Si2NiC
1.0
5.1556 0.0000 0.0000
0.0000 5.1556 0.0000
0.0000 0.0000 7.6370
Si Ni C
8 4 4
Cartesian
0.9817 1.2889 0.9546
1.2889 3.5595 2.8639
1.2889 4.1739 6.6824
1.5961 1.2889 4.7731
3.5595 3.8667 4.7731
3.8667 0.9817 6.6824
3.8667 1.5961 2.8639
4.1739 3.8667 0.9546
0.0000 0.0000 3.8185
0.0000 2.5778 5.7278
2.5778 0.0000 1.9093
2.5778 2.5778 0.0000
0.0000 0.0000 0.0000
0.0000 2.5778 1.9093
2.5778 0.0000 5.7278
2.5778 2.5778 3.8185
```

Properties
Raw formation energy ... 53.7 kJ/mol of formula units
DOS(E_F) ... 0.0017 states/eV/atom
Calculated density ... 4.15 g/cm³